(1)
Entry from Alexandria: a relaxed SrLaSi2Sn crystal (PBE).

Cell: 5.5181 5.8829 5.5181 Å, 90.00 90.00 90.00°
Closest atoms and distances in Å follow each position.
Positions (direct):
1 La 0.0000 0.0000 0.0000  4 Si 2.76, 2 Sn 2.94
2 Sn 0.0000 0.5000 0.0000  2 La 2.94
3 Sr 0.5000 0.5000 0.5000  4 Sn 3.90, 8 Si 4.03
4 Si 0.5000 0.0000 0.0000  2 La 2.76
5 Si 0.0000 0.0000 0.5000  2 La 2.76

Properties
* magnetic moment: 0.0 μB per formula unit
* total energy: -3.8809 eV per atom
* formation energy without anion corrections: 2.1 eV/f.u.

=====

(2)
Entry from Alexandria: a relaxed LaY2SiSn crystal (PBE).

Cell: 5.4293 5.4883 5.4293 Å, 90.00 90.00 90.00°
Closest atoms and distances in Å follow each position.
Positions (direct):
1 Y 0.5000 0.0000 0.0000  2 Si 2.71
2 Si 0.0000 0.0000 0.0000  4 Y 2.71, 2 Sn 2.74
3 Sn 0.0000 0.5000 0.0000  2 Si 2.74
4 La 0.5000 0.5000 0.5000  4 Sn 3.84, 8 Y 3.86
5 Y 0.0000 0.0000 0.5000  2 Si 2.71

Properties
* magnetic moment: 0.8 μB per formula unit
* total energy: -5.5302 eV per atom
* formation energy without anion corrections: -0.4 eV/f.u.